Here is a relaxed Li2CoCuO4 crystal from Alexandria via LeMat-Bulk. Energies are from GGA+U.

Values from the calculation:
Spin magnetization (μB/f.u.): 1.9
Space group: P2/m (10)
ΔE to the lowest computed polymorph (meV per atom): 0
Crystal system: monoclinic
Calculated total energy (eV/cell): -42.7

abc: 5.028 2.880 5.044
angles: 90.00 109.55 90.00
Element x y z (fractional)
1 Li 0.000 0.000 0.000
2 Li 0.500 0.500 0.000
3 Co 0.000 0.500 0.500
4 Cu 0.500 0.000 0.500
5 O 0.230 0.000 0.721
6 O 0.246 0.500 0.275
7 O 0.754 0.500 0.725
8 O 0.770 0.000 0.279

---

Here is a relaxed Li5Co2Cu5O12 crystal from Alexandria via LeMat-Bulk. Energies are from GGA+U.

Values from the calculation:
Spin magnetization (μB/f.u.): 2.1
Space group: C2 (5)
Crystal system: monoclinic
Calculated total energy (eV/cell): -125.2

abc: 5.024 5.024 9.659
angles: 92.83 92.83 118.14
Element x y z (fractional)
1 Li 0.000 0.000 0.000
2 Li 0.266 0.260 0.757
3 Li 0.407 0.057 0.246
4 Li 0.740 0.734 0.243
5 Li 0.943 0.593 0.754
6 Co 0.339 0.661 0.000
7 Co 0.842 0.158 0.500
8 Cu 0.081 0.395 0.247
9 Cu 0.176 0.824 0.500
10 Cu 0.507 0.493 0.500
11 Cu 0.605 0.919 0.753
12 Cu 0.673 0.327 0.000
13 O 0.007 0.343 0.890
14 O 0.045 0.665 0.120
15 O 0.133 0.141 0.379
16 O 0.173 0.487 0.608
17 O 0.335 0.955 0.880
18 O 0.369 0.381 0.118
19 O 0.513 0.827 0.392
20 O 0.544 0.173 0.616
21 O 0.619 0.631 0.882
22 O 0.657 0.993 0.110
23 O 0.827 0.456 0.384
24 O 0.859 0.867 0.621

---

Here is a relaxed Li2CoCuP2O8 crystal from Alexandria via LeMat-Bulk. Energies are from GGA+U.

Values from the calculation:
Spin magnetization (μB/f.u.): 4.0
Space group: P1 (1)
Crystal system: triclinic
Calculated total energy (eV/cell): -180.0

abc: 4.754 6.069 10.133
angles: 88.85 88.32 89.32
Element x y z (fractional)
1 Li 0.000 0.000 0.000
2 Li 0.000 0.500 0.000
3 Li 0.499 0.000 0.500
4 Li 0.501 0.499 0.501
5 Co 0.019 0.243 0.718
6 Co 0.981 0.757 0.283
7 Cu 0.456 0.251 0.216
8 Cu 0.547 0.750 0.784
9 P 0.085 0.744 0.599
10 P 0.425 0.746 0.092
11 P 0.575 0.254 0.907
12 P 0.915 0.255 0.401
13 O 0.205 0.757 0.454
14 O 0.212 0.529 0.661
15 O 0.218 0.943 0.670
16 O 0.242 0.248 0.394
17 O 0.253 0.250 0.904
18 O 0.274 0.945 0.162
19 O 0.282 0.543 0.164
20 O 0.313 0.748 0.948
21 O 0.688 0.253 0.051
22 O 0.716 0.456 0.834
23 O 0.726 0.054 0.839
24 O 0.747 0.748 0.096
25 O 0.758 0.751 0.605
26 O 0.782 0.057 0.328
27 O 0.789 0.470 0.339
28 O 0.795 0.241 0.545

---

Here is a relaxed Li5Co2Cu2P4O16 crystal from Alexandria via LeMat-Bulk. Energies are from GGA+U.

Values from the calculation:
Spin magnetization (μB/f.u.): 7.0
Space group: P1 (1)
Crystal system: triclinic
Calculated total energy (eV/cell): -184.6

abc: 4.816 6.188 10.303
angles: 87.43 86.87 88.20
Element x y z (fractional)
1 Li 0.000 0.000 0.000
2 Li 0.001 0.499 0.004
3 Li 0.398 0.024 0.378
4 Li 0.502 0.498 0.503
5 Li 0.606 0.973 0.630
6 Co 0.039 0.726 0.721
7 Co 0.965 0.270 0.286
8 Cu 0.431 0.730 0.207
9 Cu 0.570 0.268 0.800
10 P 0.097 0.242 0.598
11 P 0.424 0.247 0.103
12 P 0.579 0.750 0.904
13 P 0.907 0.755 0.409
14 O 0.205 0.265 0.452
15 O 0.214 0.021 0.654
16 O 0.227 0.431 0.668
17 O 0.229 0.744 0.396
18 O 0.260 0.740 0.901
19 O 0.264 0.451 0.159
20 O 0.301 0.059 0.194
21 O 0.319 0.223 0.965
22 O 0.683 0.774 0.043
23 O 0.705 0.939 0.814
24 O 0.739 0.547 0.848
25 O 0.743 0.258 0.106
26 O 0.775 0.253 0.612
27 O 0.777 0.566 0.339
28 O 0.790 0.976 0.353
29 O 0.799 0.732 0.555

---

Here is a relaxed Li6CoCu3P4O16 crystal from Alexandria via LeMat-Bulk. Energies are from GGA+U.

Values from the calculation:
Spin magnetization (μB/f.u.): 1.5
Space group: Pm (6)
Crystal system: monoclinic
Calculated total energy (eV/cell): -186.2

abc: 5.133 6.226 10.232
angles: 90.00 91.65 90.00
Element x y z (fractional)
1 Li 0.000 0.244 0.000
2 Li 0.000 0.756 0.000
3 Li 0.159 0.252 0.516
4 Li 0.159 0.748 0.516
5 Li 0.494 0.250 0.826
6 Li 0.494 0.750 0.826
7 Co 0.693 0.000 0.445
8 Cu 0.048 0.500 0.772
9 Cu 0.105 0.500 0.296
10 Cu 0.583 0.000 0.088
11 P 0.152 0.000 0.264
12 P 0.478 0.500 0.070
13 P 0.647 0.500 0.574
14 P 0.962 0.000 0.743
15 O 0.024 0.197 0.334
16 O 0.024 0.803 0.334
17 O 0.086 0.000 0.115
18 O 0.109 0.197 0.804
19 O 0.109 0.803 0.804
20 O 0.200 0.500 0.005
21 O 0.454 0.000 0.284
22 O 0.462 0.500 0.219
23 O 0.532 0.292 0.511
24 O 0.532 0.708 0.511
25 O 0.587 0.500 0.723
26 O 0.626 0.297 0.017
27 O 0.626 0.703 0.017
28 O 0.678 0.000 0.781
29 O 0.952 0.500 0.562
30 O 0.989 0.000 0.591

---

Here is a relaxed Li4Co3Cu3Te2O16 crystal from Alexandria via LeMat-Bulk. Energies are from GGA+U.

Values from the calculation:
Spin magnetization (μB/f.u.): 2.0
Space group: P1 (1)
Crystal system: triclinic
Calculated total energy (eV/cell): -152.6

abc: 5.831 5.861 9.656
angles: 91.38 91.93 117.97
Element x y z (fractional)
1 Li 0.000 0.000 0.000
2 Li 0.017 0.979 0.501
3 Li 0.339 0.686 0.072
4 Li 0.697 0.319 0.572
5 Co 0.666 0.829 0.770
6 Co 0.841 0.158 0.272
7 Co 0.847 0.652 0.271
8 Cu 0.166 0.817 0.773
9 Cu 0.183 0.334 0.772
10 Cu 0.352 0.166 0.273
11 Te 0.366 0.648 0.500
12 Te 0.668 0.351 0.002
13 O 0.017 0.980 0.192
14 O 0.068 0.473 0.625
15 O 0.167 0.786 0.402
16 O 0.203 0.307 0.399
17 O 0.328 0.192 0.902
18 O 0.352 0.663 0.859
19 O 0.501 0.953 0.636
20 O 0.507 0.055 0.131
21 O 0.564 0.552 0.635
22 O 0.568 0.545 0.134
23 O 0.680 0.341 0.363
24 O 0.681 0.818 0.390
25 O 0.802 0.151 0.902
26 O 0.836 0.666 0.891
27 O 0.976 0.488 0.138
28 O 0.999 0.996 0.694